Entry 1:
Here is BaZr3P after structural relaxation from Alexandria via LeMat-Bulk. Energies are from PBE.

Unit cell a=5.2621 b=5.2621 c=5.2621 alpha=90.00 beta=90.00 gamma=90.00
Atoms (fractional coordinates):
P 0.5000 0.5000 0.5000
Ba 0.0000 0.0000 0.0000
Zr 0.0000 0.5000 0.0000
Zr 0.0000 0.0000 0.5000
Zr 0.5000 0.0000 0.0000

Results
The value obtained for the relative energy among the computed polymorphs is 2059 meV/atom. For the total energy, the calculation gives -4.616 eV per atom. For the energy of formation from the pure elements, the calculation gives 9.9 eV per formula unit. The volume comes out at 145.7 Å³/cell. As for the space group: Pm-3m (221).

Entry 2:
Here is PmLuAg2 after structural relaxation from Alexandria via LeMat-Bulk. Energies are from PBE.

Unit cell a=5.1671 b=5.1671 c=5.1671 alpha=60.00 beta=60.00 gamma=60.00
Atoms (fractional coordinates):
Lu 0.5000 0.5000 0.5000
Ag 0.2500 0.2500 0.2500
Ag 0.7500 0.7500 0.7500
Pm 0.0000 0.0000 0.0000

Results
The value obtained for the relative energy among the computed polymorphs is 18 meV/atom. For the total energy, the calculation gives -4.036 eV per atom. For the energy of formation from the pure elements, the calculation gives -1.2 eV per formula unit. The volume comes out at 97.5 Å³/cell. As for the space group: Fm-3m (225).

Entry 3:
Here is HgPtAu2 after structural relaxation from Alexandria via LeMat-Bulk. Energies are from PBE.

Unit cell a=5.0330 b=5.0330 c=3.0244 alpha=90.00 beta=90.00 gamma=108.32
Atoms (fractional coordinates):
Au 0.0000 0.0000 0.0000
Au 0.5000 0.5000 0.0000
Hg 0.5000 0.0000 0.5000
Pt 0.0000 0.5000 0.5000

Results
For the total energy, the calculation gives -3.146 eV per atom. For the energy of formation from the pure elements, the calculation gives 0.3 eV per formula unit. The volume comes out at 72.7 Å³/cell. As for the space group: Cmmm (65).

Entry 4:
Here is Tb5Pr2Y5 after structural relaxation from Alexandria via LeMat-Bulk. Energies are from PBE.

Unit cell a=5.6973 b=9.0483 c=9.7415 alpha=122.63 beta=90.00 gamma=108.35
Atoms (fractional coordinates):
Tb 0.5000 0.0000 0.5000
Tb 0.6248 0.2496 0.9517
Tb 0.6233 0.2465 0.2833
Tb 0.3767 0.7535 0.7167
Tb 0.3752 0.7504 0.0483
Pr 0.1284 0.2569 0.8065
Pr 0.8716 0.7431 0.1935
Y 0.1238 0.2475 0.4635
Y 0.7499 0.4998 0.7388
Y 0.2501 0.5002 0.2612
Y 0.8762 0.7525 0.5365
Y 0.0000 0.0000 0.0000

Results
The value obtained for the relative energy among the computed polymorphs is 39 meV/atom. For the total energy, the calculation gives -5.361 eV per atom. For the energy of formation from the pure elements, the calculation gives 0.7 eV per formula unit. The volume comes out at 392.2 Å³/cell. As for the space group: C2/m (12).

Entry 5:
Here is CsK2PaF8 after structural relaxation from Alexandria via LeMat-Bulk. Energies are from PBE.

Unit cell a=6.1082 b=6.1082 c=7.6926 alpha=113.39 beta=113.39 gamma=90.00
Atoms (fractional coordinates):
Cs 0.5000 0.5000 0.0000
K 0.7500 0.2500 0.5000
K 0.0000 0.0000 0.0000
Pa 0.2500 0.7500 0.5000
F 0.1351 0.6443 0.7021
F 0.5670 0.6443 0.7021
F 0.3557 0.4330 0.2979
F 0.9422 0.8649 0.2979
F 0.5670 0.0578 0.7021
F 0.3557 0.8649 0.2979
F 0.1351 0.0578 0.7021
F 0.9422 0.4330 0.2979

Results
The formation energy (no corrections) is -3.402 eV/atom. For the total energy, the calculation gives -5.695 eV per atom. The volume comes out at 237.5 Å³/cell. As for the space group: I-4m2 (119).

Entry 6:
Here is ErCuPb after structural relaxation from Alexandria via LeMat-Bulk. Energies are from PBE.

Unit cell a=4.6241 b=4.6241 c=7.2438 alpha=90.00 beta=90.00 gamma=120.00
Atoms (fractional coordinates):
Pb 0.6667 0.3333 0.2500
Pb 0.3333 0.6667 0.7500
Cu 0.6667 0.3333 0.7500
Cu 0.3333 0.6667 0.2500
Er 0.0000 0.0000 0.5000
Er 0.0000 0.0000 0.0000

Results
For the total energy, the calculation gives -4.435 eV per atom. For the energy of formation from the pure elements, the calculation gives -0.9 eV per formula unit. The volume comes out at 134.1 Å³/cell. As for the space group: P6_3/mmc (194).

Entry 7:
Here is TaAsSe after structural relaxation from Alexandria via LeMat-Bulk. Energies are from PBE.

Unit cell a=3.4664 b=3.4664 c=6.1616 alpha=90.00 beta=90.00 gamma=120.00
Atoms (fractional coordinates):
As 0.0000 0.0000 0.9408
Se 0.6667 0.3333 0.3925
Ta 0.3333 0.6667 0.6667

Results
The formation energy (no corrections) is -0.446 eV/atom. For the total energy, the calculation gives -7.108 eV per atom. The volume comes out at 64.1 Å³/cell. As for the space group: P3m1 (156).

Entry 8:
Here is SrPrPa2As4 after structural relaxation from Alexandria via LeMat-Bulk. Energies are from PBE.

Unit cell a=5.9569 b=5.9569 c=7.3256 alpha=113.99 beta=113.99 gamma=90.00
Atoms (fractional coordinates):
Sr 0.5000 0.5000 0.0000
Pr 0.7500 0.2500 0.5000
Pa 0.2500 0.7500 0.5000
Pa 0.0000 0.0000 0.0000
As 0.0085 0.5085 0.0171
As 0.4915 0.9915 0.9829
As 0.7607 0.7607 0.5214
As 0.2393 0.2393 0.4786

Results
For the total energy, the calculation gives -6.668 eV per atom. For the energy of formation from the pure elements, the calculation gives -9.3 eV per formula unit. The volume comes out at 212.7 Å³/cell. As for the space group: I-4m2 (119).

Entry 9:
Here is K2LiTl3F12 after structural relaxation from Alexandria via LeMat-Bulk. Energies are from PBE.

Unit cell a=7.7333 b=7.7333 c=7.7333 alpha=63.65 beta=63.65 gamma=63.65
Atoms (fractional coordinates):
K 0.6678 0.6678 0.6678
K 0.3322 0.3322 0.3322
Li 0.0000 0.0000 0.0000
Tl 0.5000 0.0000 0.0000
Tl 0.0000 0.5000 0.0000
Tl 0.0000 0.0000 0.5000
F 0.3363 0.3363 0.9529
F 0.9340 0.9340 0.3067
F 0.3067 0.9340 0.9340
F 0.9529 0.3363 0.3363
F 0.9340 0.3067 0.9340
F 0.3363 0.9529 0.3363
F 0.6637 0.6637 0.0471
F 0.0660 0.0660 0.6933
F 0.6933 0.0660 0.0660
F 0.0471 0.6637 0.6637
F 0.0660 0.6933 0.0660
F 0.6637 0.0471 0.6637

Results
The formation energy (no corrections) is -2.159 eV/atom. For the total energy, the calculation gives -4.030 eV per atom. The volume comes out at 353.4 Å³/cell. As for the space group: R-3m (166).

Entry 10:
Here is Bi2Sb2Au after structural relaxation from Alexandria via LeMat-Bulk. Energies are from PBE.

Unit cell a=8.2654 b=8.2654 c=4.3808 alpha=90.00 beta=90.00 gamma=90.00
Atoms (fractional coordinates):
Sb 0.1356 0.6356 0.5000
Sb 0.6356 0.8644 0.5000
Sb 0.8644 0.3644 0.5000
Sb 0.3644 0.1356 0.5000
Au 0.0000 0.0000 0.0000
Au 0.5000 0.5000 0.0000
Bi 0.3242 0.8242 0.0000
Bi 0.8242 0.6758 0.0000
Bi 0.6758 0.1758 0.0000
Bi 0.1758 0.3242 0.0000

Results
The formation energy (no corrections) is 0.263 eV/atom. The value obtained for the relative energy among the computed polymorphs is 252 meV/atom. For the total energy, the calculation gives -3.594 eV per atom. The volume comes out at 299.3 Å³/cell. As for the space group: P4/mbm (127).

Entry 11:
Here is YCd2Ni after structural relaxation from Alexandria via LeMat-Bulk. Energies are from PBE.

Unit cell a=9.3784 b=9.3784 c=9.3784 alpha=20.29 beta=20.29 gamma=20.29
Atoms (fractional coordinates):
Cd 0.9850 0.9850 0.9850
Cd 0.5150 0.5150 0.5150
Ni 0.2500 0.2500 0.2500
Y 0.7500 0.7500 0.7500

Results
For the total energy, the calculation gives -3.402 eV per atom. For the energy of formation from the pure elements, the calculation gives 0.5 eV per formula unit. The volume comes out at 86.8 Å³/cell. As for the space group: R-3m (166).

Entry 12:
Here is La2PmPrHo4 after structural relaxation from Alexandria via LeMat-Bulk. Energies are from PBE.

Unit cell a=9.5861 b=9.5861 c=11.9544 alpha=128.57 beta=128.57 gamma=88.15
Atoms (fractional coordinates):
La 0.5000 0.0000 0.0000
La 0.5000 0.0000 0.5000
La 0.0000 0.0000 0.5000
La 0.5000 0.5000 0.0000
Pm 0.5000 0.5000 0.5000
Pm 0.0000 0.0000 0.0000
Pr 0.0000 0.5000 0.0000
Pr 0.0000 0.5000 0.5000
Ho 0.2480 0.7498 0.9989
Ho 0.7502 0.2521 0.5011
Ho 0.2498 0.7479 0.4989
Ho 0.7521 0.2502 0.0011
Ho 0.7497 0.7501 0.9982
Ho 0.7499 0.7503 0.5018
Ho 0.2501 0.2497 0.4982
Ho 0.2503 0.2499 0.0018

Results
For the total energy, the calculation gives -4.326 eV per atom. For the energy of formation from the pure elements, the calculation gives 3.1 eV per formula unit. The volume comes out at 545.5 Å³/cell. As for the space group: Imma (74).